(1)
The following is a DFT calculation (PBE-GGA) of Sm5Rh3 after structural relaxation.

As for the calculated volume: 25.065 Å³ per atom. The formation energy from the elements comes out at -0.65 eV per atom. The calculation puts the magnetic moment at 0.0 μB per cell. Its energy is -203.441 eV for the cell shown.

It has space group P4/ncc (No. 130, origin choice 2), with a = 11.133 Å, b = 11.133 Å, c = 6.471 Å, α = 90.00°, β = 90.00° and γ = 90.00°. The asymmetric unit holds Sm at (0.041, 0.160, 0.118), Sm at (0.250, 0.750, 0.000), Rh at (0.096, 0.596, 0.750) and Rh at (0.250, 0.250, 0.376).


(2)
The following is a DFT calculation (PBE-GGA) of La4PmHo5 after structural relaxation.

As for the calculated volume: 33.898 Å³ per atom. The energy above the most stable polymorph in this dataset is 0 meV per atom. The formation energy from the elements comes out at 0.19 eV per atom. The calculation puts the magnetic moment at 0.0 μB per cell. Its energy is -90.913 eV for the cell shown.

It has space group P4/nmm (No. 129, origin choice 2), with a = 10.747 Å, b = 10.747 Å, c = 5.869 Å, α = 90.00°, β = 90.00° and γ = 90.00°. The asymmetric unit holds La at (0.044, 0.750, 0.127), Pm at (0.250, 0.250, 0.891), Ho at (0.090, 0.090, 0.348) and Ho at (0.250, 0.750, 0.500).


(3)
The following is a DFT calculation (PBE-GGA) of HgSb2TeP after structural relaxation.

As for the formation energy (no corrections): 1.211 eV per atom. As for the calculated volume: 33.473 Å³ per atom. The energy above the most stable polymorph in this dataset is 700 meV per atom. The calculation puts the magnetic moment at 0.0 μB per cell. Its energy is -11.043 eV for the cell shown.

It has space group P4/mmm (No. 123), with a = 5.495 Å, b = 5.495 Å, c = 5.544 Å, α = 90.00°, β = 90.00° and γ = 90.00°. The asymmetric unit holds Hg at (0.000, 0.000, 0.000), Sb at (0.000, 0.500, 0.000), Te at (0.000, 0.000, 0.500) and P at (0.500, 0.500, 0.500).


(4)
The following is a DFT calculation (PBE-GGA) of LaPrSc after structural relaxation.

As for the calculated volume: 31.907 Å³ per atom. The energy above the most stable polymorph in this dataset is 11 meV per atom. The formation energy from the elements comes out at 0.08 eV per atom. The calculation puts the magnetic moment at 0.0 μB per cell. Its energy is -15.804 eV for the cell shown.

It has space group P-6m2 (No. 187), with a = 5.6443 Å, b = 5.6443 Å, c = 3.4694 Å, α = 90.00°, β = 90.00° and γ = 120.00°. The asymmetric unit holds La at (0.0000, 0.0000, 0.0000), Pr at (0.3333, 0.6667, 0.5000) and Sc at (0.6667, 0.3333, 0.5000).


(5)
The following is a DFT calculation (PBE-GGA) of Sm2Zn7 after structural relaxation.

As for the calculated volume: 18.481 Å³ per atom. The formation energy from the elements comes out at -0.30 eV per atom. The calculation puts the magnetic moment at 0.0 μB per cell. Its energy is -126.421 eV for the cell shown.

It has space group R-3m (No. 166, hexagonal axes), with a = 5.4705 Å, b = 5.4705 Å, c = 38.5057 Å, α = 90.00°, β = 90.00° and γ = 120.00°. The asymmetric unit holds Sm at (0.0000, 0.0000, 0.0515), Sm at (0.0000, 0.0000, 0.1488), Zn at (0.0000, 0.0000, 0.2789), Zn at (0.0000, 0.0000, 0.3886), Zn at (0.0000, 0.0000, 0.5000), Zn at (0.0000, 0.5000, 0.0000) and Zn at (0.0034, 0.5017, 0.8906).


(6)
The following is a DFT calculation (PBE-GGA) of ZnIn5Hg5 after structural relaxation.

As for the calculated volume: 26.788 Å³ per atom. The formation energy from the elements comes out at 0.05 eV per atom. The calculation puts the magnetic moment at 0.0 μB per cell. Its energy is -31.855 eV for the cell shown.

It has space group C2/m (No. 12), with a = 13.441 Å, b = 5.881 Å, c = 7.753 Å, α = 90.00°, β = 105.94° and γ = 90.00°. The asymmetric unit holds Zn at (0.000, 0.000, 0.000), In at (0.000, 0.000, 0.500), In at (0.092, 0.500, 0.694), In at (0.176, 0.500, 0.351), Hg at (0.000, 0.500, 0.000), Hg at (0.168, 0.000, 0.288) and Hg at (0.182, 0.000, 0.885).


(7)
The following is a DFT calculation (PBE-GGA) of Cr2RuBr after structural relaxation.

As for the formation energy (no corrections): 0.469 eV per atom. As for the calculated volume: 16.124 Å³ per atom. The energy above the most stable polymorph in this dataset is 0 meV per atom. The calculation puts the magnetic moment at 2.0 μB per cell. Its energy is -28.319 eV for the cell shown.

It has space group P4mm (No. 99), with a = 3.048 Å, b = 3.048 Å, c = 6.940 Å, α = 90.00°, β = 90.00° and γ = 90.00°. The asymmetric unit holds Cr at (0.000, 0.000, 0.000), Cr at (0.500, 0.500, 0.225), Ru at (0.000, 0.000, 0.405) and Br at (0.500, 0.500, 0.740).


(8)
The following is a DFT calculation (PBE-GGA) of CaCdIn2 after structural relaxation.

As for the calculated volume: 27.006 Å³ per atom. The formation energy from the elements comes out at -0.24 eV per atom. The calculation puts the magnetic moment at 0.0 μB per cell. Its energy is -9.357 eV for the cell shown.

It has space group P2/m (No. 10), with a = 3.473 Å, b = 4.997 Å, c = 6.225 Å, α = 90.00°, β = 90.46° and γ = 90.00°. The asymmetric unit holds Ca at (0.000, 0.000, 0.000), Cd at (0.500, 0.000, 0.500) and In at (0.493, 0.500, 0.755).


(9)
The following is a DFT calculation (PBE-GGA) of CeHo3Tm2 after structural relaxation.

As for the calculated volume: 31.339 Å³ per atom. The energy above the most stable polymorph in this dataset is 203 meV per atom. The formation energy from the elements comes out at 0.26 eV per atom. The calculation puts the magnetic moment at 3.6 μB per cell. Its energy is -108.131 eV for the cell shown.

It has space group Cmc2_1 (No. 36), with a = 10.105 Å, b = 13.018 Å, c = 5.718 Å, α = 90.00°, β = 90.00° and γ = 90.00°. The asymmetric unit holds Ce at (0.000, 0.047, 0.000), Ho at (0.000, 0.199, 0.499), Ho at (0.166, 0.297, 0.999) and Tm at (0.166, 0.434, 0.499).


(10)
The following is a DFT calculation (PBE-GGA) of SmMg2Ag2Sn2 after structural relaxation.

As for the calculated volume: 22.668 Å³ per atom. The formation energy from the elements comes out at -0.36 eV per atom. The calculation puts the magnetic moment at 0.0 μB per cell. Its energy is -72.396 eV for the cell shown.

It has space group R-3m (No. 166, hexagonal axes), with a = 4.6719 Å, b = 4.6719 Å, c = 25.1828 Å, α = 90.00°, β = 90.00° and γ = 120.00°. The asymmetric unit holds Sm at (0.0000, 0.0000, 0.0000), Mg at (0.0000, 0.0000, 0.1384), Ag at (0.0000, 0.0000, 0.4404) and Sn at (0.0000, 0.0000, 0.2639).